No. 1
Material: BaLiCa2Cd4
Method: DFT, PBE-GGA
State: optimized geometry

a = 5.3930 Å, b = 5.3930 Å, c = 28.6539 Å
α = 90.00°, β = 90.00°, γ = 120.00°
Last column: nearest neighbours and their distance in Å.
Space group R-3m (No. 166, hexagonal axes)
Unique sites:
1 Ba 0.0000 0.0000 0.0000 x3  8 Cd 3.58-3.64
2 Li 0.0000 0.0000 0.5000 x3  2 Cd 2.88
3 Ca 0.0000 0.0000 0.2376 x6  7 Cd 3.23
4 Cd 0.0000 0.0000 0.1251 x6  4 Ca 3.23, 3 Li 3.33, 3 Cd 3.54, 1 Ba 3.58
5 Cd 0.0000 0.0000 0.3994 x6  1 Li 2.88, 3 Ca 3.23

Calculated values
Mass density in Mg/m³: 4.653
Formation energy from the elements in meV per atom: -246


No. 2
Material: Pm3Cd2Ru
Method: DFT, PBE-GGA
State: optimized geometry

a = 5.1900 Å, b = 15.3870 Å, c = 7.7437 Å
α = 90.00°, β = 90.00°, γ = 90.00°
Last column: nearest neighbours and their distance in Å.
Space group Cmmm (No. 65)
Unique sites:
1 Pm 0.0000 0.0000 0.2307 x4  2 Ru 3.06, 6 Cd 3.15-3.33
2 Pm 0.0000 0.3250 0.2214 x8  3 Ru 3.05-3.12, 4 Cd 3.19-3.38
3 Cd 0.0000 0.1647 0.5000 x4  8 Pm 3.28-3.38, 2 Cd 3.63
4 Cd 0.0000 0.5000 0.0000 x2  8 Pm 3.15-3.19
5 Cd 0.0000 0.5000 0.5000 x2  8 Pm 3.33-3.45, 4 Cd 3.63
6 Ru 0.0000 0.1615 0.0000 x4  8 Pm 3.05-3.12

Calculated values
Mass density in Mg/m³: 8.173
Excess energy over the best structure of this formula in the dataset in eV/atom: 0.000
Formation energy from the elements in meV per atom: -284


No. 3
Material: Ag2Ir2Cl
Method: DFT, PBE-GGA
State: optimized geometry

a = 3.5446 Å, b = 3.5446 Å, c = 15.7267 Å
α = 90.00°, β = 90.00°, γ = 90.00°
Last column: nearest neighbours and their distance in Å.
Space group I4/mmm (No. 139)
Unique sites:
1 Ag 0.0000 0.0000 0.1024 x4  4 Ir 2.92, 4 Cl 2.98, 1 Ag 3.22
2 Ir 0.0000 0.5000 0.2500 x4  4 Ir 2.51
3 Cl 0.0000 0.0000 0.5000 x2  8 Ag 2.98

Calculated values
Formation energy without anion corrections in eV per atom: 0.460
Mass density in Mg/m³: 10.683


No. 4
Material: EuYIr2
Method: DFT, PBE-GGA
State: optimized geometry

a = 6.9359 Å, b = 6.9359 Å, c = 6.9359 Å
α = 90.00°, β = 90.00°, γ = 90.00°
Last column: nearest neighbours and their distance in Å.
Space group Fm-3m (No. 225)
Unique sites:
1 Eu 0.0000 0.0000 0.0000 x4  8 Ir 3.00
2 Y 0.0000 0.0000 0.5000 x4  8 Ir 3.00
3 Ir 0.2500 0.2500 0.2500 x8  4 Eu 3.00, 4 Y 3.00

Calculated values
Mass density in Mg/m³: 12.448
Excess energy over the best structure of this formula in the dataset in eV/atom: 0.036
Formation energy from the elements in meV per atom: -454


No. 5
Material: ReOs3
Method: DFT, PBE-GGA
State: optimized geometry

a = 4.9279 Å, b = 4.9279 Å, c = 4.9279 Å
α = 90.00°, β = 90.00°, γ = 90.00°
Last column: nearest neighbours and their distance in Å.
Space group Pm-3n (No. 223)
Unique sites:
1 Re 0.0000 0.0000 0.0000 x2  12 Os 2.75
2 Os 0.0000 0.2500 0.5000 x6  2 Os 2.46, 4 Re 2.75

Calculated values
Mass density in Mg/m³: 21.005
Excess energy over the best structure of this formula in the dataset in eV/atom: 0.610
Formation energy from the elements in meV per atom: 527


No. 6
Material: LaLu2Ag
Method: DFT, PBE-GGA
State: optimized geometry

a = 3.5850 Å, b = 3.5850 Å, c = 8.7279 Å
α = 90.00°, β = 90.00°, γ = 90.00°
Last column: nearest neighbours and their distance in Å.
Space group P4/mmm (No. 123)
Unique sites:
1 La 0.0000 0.0000 0.0000 x1  4 La 3.59, 8 Lu 3.64
2 Lu 0.5000 0.5000 0.2996 x2  4 Ag 3.08
3 Ag 0.0000 0.0000 0.5000 x1  8 Lu 3.08

Calculated values
Mass density in Mg/m³: 8.833
Excess energy over the best structure of this formula in the dataset in eV/atom: 0.000
Formation energy from the elements in meV per atom: -131


No. 7
Material: Y2MgSi
Method: DFT, PBE-GGA
State: optimized geometry

a = 3.4597 Å, b = 3.9821 Å, c = 6.9604 Å
α = 90.00°, β = 90.00°, γ = 90.00°
Last column: nearest neighbours and their distance in Å.
Space group Pmmm (No. 47)
Unique sites:
1 Y 0.0000 0.0000 0.2289 x2  4 Si 3.08, 1 Y 3.19, 4 Mg 3.24
2 Mg 0.5000 0.5000 0.5000 x1  8 Y 3.24, 2 Mg 3.46, 2 Si 3.48
3 Si 0.5000 0.5000 0.0000 x1  8 Y 3.08

Calculated values
Formation energy without anion corrections in eV per atom: -0.357
Mass density in Mg/m³: 3.986


No. 8
Material: TlRuSe4
Method: DFT, PBE-GGA
State: optimized geometry

a = 6.8499 Å, b = 7.7500 Å, c = 7.8921 Å
α = 114.17°, β = 97.02°, γ = 107.92°
Last column: nearest neighbours and their distance in Å.
Space group P-1 (No. 2)
Unique sites:
1 Tl 0.1951 0.2597 0.0487 x2  4 Se 3.08-3.28
2 Ru 0.2829 0.9852 0.4830 x2  6 Se 2.36-2.63
3 Se 0.0465 0.1847 0.4434 x2  1 Se 2.40, 2 Ru 2.51-2.63
4 Se 0.2149 0.7153 0.1291 x2  1 Se 2.56, 1 Ru 2.59
5 Se 0.3486 0.3450 0.7224 x2  1 Se 2.40, 1 Ru 2.50
6 Se 0.4836 0.9258 0.7033 x2  2 Ru 2.36-2.43, 1 Se 2.56

Calculated values
Formation energy without anion corrections in eV per atom: -0.152
Mass density in Mg/m³: 5.921
Excess energy over the best structure of this formula in the dataset in eV/atom: 0.000


No. 9
Material: BeTc2Mo
Method: DFT, PBE-GGA
State: optimized geometry

a = 3.1185 Å, b = 4.3799 Å, c = 7.9687 Å
α = 90.00°, β = 90.00°, γ = 90.00°
Last column: nearest neighbours and their distance in Å.
Space group Cmmm (No. 65)
Unique sites:
1 Be 0.0000 0.0000 0.0000 x2  4 Tc 2.38
2 Tc 0.0000 0.5000 0.2249 x4  2 Be 2.38
3 Mo 0.0000 0.0000 0.5000 x2  4 Mo 2.69, 4 Tc 2.69

Calculated values
Mass density in Mg/m³: 9.183
Formation energy from the elements in meV per atom: 97


No. 10
Material: Zn2CuSe
Method: DFT, PBE-GGA
State: optimized geometry

a = 3.8050 Å, b = 3.8050 Å, c = 17.0133 Å
α = 90.00°, β = 90.00°, γ = 120.00°
Last column: nearest neighbours and their distance in Å.
Space group R3m (No. 160, hexagonal axes)
Unique sites:
1 Zn 0.0000 0.0000 0.0000 x3  3 Cu 2.55, 3 Zn 2.68
2 Zn 0.0000 0.0000 0.2427 x3  3 Zn 2.68, 3 Se 2.73
3 Cu 0.0000 0.0000 0.7426 x3  3 Se 2.51, 3 Zn 2.55
4 Se 0.0000 0.0000 0.4809 x3  3 Cu 2.51, 3 Zn 2.73

Calculated values
Formation energy without anion corrections in eV per atom: 0.023
Mass density in Mg/m³: 6.383


No. 11
Material: YMgTi2
Method: DFT, PBE-GGA
State: optimized geometry

a = 4.1712 Å, b = 4.1712 Å, c = 20.9863 Å
α = 90.00°, β = 90.00°, γ = 90.00°
Last column: nearest neighbours and their distance in Å.
Space group I-42d (No. 122)
Unique sites:
1 Y 0.0000 0.0000 0.0000 x4  4 Mg 2.95, 4 Ti 3.02
2 Mg 0.0000 0.0000 0.5000 x4  4 Y 2.95, 4 Ti 3.00
3 Ti 0.2420 0.2500 0.6250 x8  4 Ti 2.90-3.00, 2 Mg 3.00, 2 Y 3.02

Calculated values
Mass density in Mg/m³: 3.801
Formation energy from the elements in meV per atom: 551


No. 12
Material: Rb4BiH
Method: DFT, PBE-GGA
State: optimized geometry

a = 6.2366 Å, b = 19.9786 Å, c = 8.1190 Å
α = 90.00°, β = 90.00°, γ = 90.00°
Last column: nearest neighbours and their distance in Å.
Space group Cmcm (No. 63)
Unique sites:
1 Rb 0.0000 0.0000 0.0000 x4  2 H 2.79
2 Rb 0.0000 0.1912 0.0058 x8  1 H 2.81
3 Rb 0.0000 0.4250 0.2500 x4  2 H 3.15
4 Bi 0.0000 0.3738 0.7500 x4  9 Rb 3.92-4.20
5 H 0.0000 0.0961 0.7500 x4  4 Rb 2.79-2.81

Calculated values
Mass density in Mg/m³: 3.623
Excess energy over the best structure of this formula in the dataset in eV/atom: 0.000